1.
A geometry-optimized Sm5Hg2Ru structure, computed with PBE-GGA.

Cell and atoms, written as CIF:
```
data_Sm5Hg2Ru
_space_group_name_H-M_alt 'C m c m'
_space_group_IT_number 63
_space_group_name_Hall '-C 2c 2'
_cell_length_a 5.620
_cell_length_b 15.894
_cell_length_c 12.495
_cell_angle_alpha 90.00
_cell_angle_beta 90.00
_cell_angle_gamma 90.00
loop_
_atom_site_label
_atom_site_type_symbol
_atom_site_fract_x
_atom_site_fract_y
_atom_site_fract_z
Sm1 Sm 0.000 0.071 0.103
Sm2 Sm 0.000 0.302 0.750
Sm3 Sm 0.000 0.308 0.078
Hg1 Hg 0.000 0.124 0.632
Ru1 Ru 0.000 0.193 0.250
```

Computed properties:
**E**: -135.60 eV for the cell shown
**Total magnetic moment**: 0.00 μB per cell

***

2.
A geometry-optimized TbSmHgRu structure, computed with PBE-GGA.

Cell and atoms, written as CIF:
```
data_TbSmHgRu
_space_group_name_H-M_alt 'F -4 3 m'
_space_group_IT_number 216
_space_group_name_Hall 'F -4 2 3'
_cell_length_a 7.199
_cell_length_b 7.199
_cell_length_c 7.199
_cell_angle_alpha 90.00
_cell_angle_beta 90.00
_cell_angle_gamma 90.00
loop_
_atom_site_label
_atom_site_type_symbol
_atom_site_fract_x
_atom_site_fract_y
_atom_site_fract_z
Tb1 Tb 0.000 0.000 0.000
Sm1 Sm 0.000 0.000 0.500
Hg1 Hg 0.250 0.250 0.750
Ru1 Ru 0.250 0.250 0.250
```

Computed properties:
**E**: -80.72 eV for the cell shown
**Total magnetic moment**: 0.00 μB per cell

***

3.
A geometry-optimized TbSmHgRu structure, computed with PBE-GGA.

Cell and atoms, written as CIF:
```
data_TbSmHgRu
_space_group_name_H-M_alt 'P 4 m m'
_space_group_IT_number 99
_cell_length_a 3.516
_cell_length_b 3.516
_cell_length_c 7.639
_cell_angle_alpha 90.00
_cell_angle_beta 90.00
_cell_angle_gamma 90.00
loop_
_space_group_symop_operation_xyz
'x,y,z'
'-y,x,z'
'-x,-y,z'
'y,-x,z'
'-x,y,z'
'y,x,z'
'x,-y,z'
'-y,-x,z'
loop_
_atom_site_label
_atom_site_type_symbol
_atom_site_fract_x
_atom_site_fract_y
_atom_site_fract_z
Tb1 Tb 0.000 0.000 0.000
Sm1 Sm 0.000 0.000 0.440
Hg1 Hg 0.500 0.500 0.728
Ru1 Ru 0.500 0.500 0.215
```

Computed properties:
**E**: -20.60 eV for the cell shown
**Total magnetic moment**: 0.00 μB per cell

***

4.
A geometry-optimized SmThHgRu structure, computed with PBE-GGA.

Cell and atoms, written as CIF:
```
data_SmThHgRu
_space_group_name_H-M_alt 'R 3 m'
_space_group_IT_number 160
_space_group_name_Hall 'R 3 -2"'
_cell_length_a 4.1072
_cell_length_b 4.1072
_cell_length_c 22.9579
_cell_angle_alpha 90.00
_cell_angle_beta 90.00
_cell_angle_gamma 120.00
loop_
_atom_site_label
_atom_site_type_symbol
_atom_site_fract_x
_atom_site_fract_y
_atom_site_fract_z
Sm1 Sm 0.0000 0.0000 0.0000
Th1 Th 0.0000 0.0000 0.2013
Hg1 Hg 0.0000 0.0000 0.7645
Ru1 Ru 0.0000 0.0000 0.5953
```

Computed properties:
**E**: -69.57 eV for the cell shown
**Total magnetic moment**: 0.00 μB per cell